First-principles (GGA-PBE) data for ErSc2Zn after structural relaxation, as listed in Alexandria via LeMat-Bulk.

Lattice parameters (Å, degrees): 9.918 9.918 9.918 19.67 19.67 19.67
Fractional coordinates of all 4 atoms:
Er 0.000 0.000 0.000
Sc 0.240 0.240 0.240
Sc 0.428 0.428 0.428
Zn 0.834 0.834 0.834

Properties
Energy of formation: -0.048 eV per atom
Spin magnetization: 0.76 μB per formula unit
SG: R3m

---

First-principles (GGA-PBE) data for ErSc5Zn6 after structural relaxation, as listed in Alexandria via LeMat-Bulk.

Lattice parameters (Å, degrees): 8.277 8.277 8.277 146.50 131.49 60.24
Fractional coordinates of all 12 atoms:
Er 0.000 0.000 0.000
Sc 0.165 0.665 0.500
Sc 0.332 0.332 0.000
Sc 0.500 0.000 0.500
Sc 0.668 0.668 0.000
Sc 0.835 0.335 0.500
Zn 0.088 0.830 0.258
Zn 0.265 0.500 0.765
Zn 0.428 0.170 0.258
Zn 0.572 0.830 0.742
Zn 0.735 0.500 0.235
Zn 0.912 0.170 0.742

Properties
Energy of formation: -0.363 eV per atom
Spin magnetization: 0.00 μB per formula unit
SG: Immm

---

First-principles (GGA-PBE) data for ErScZn6 after structural relaxation, as listed in Alexandria via LeMat-Bulk.

Lattice parameters (Å, degrees): 4.361 5.938 5.938 65.97 90.00 90.00
Fractional coordinates of all 8 atoms:
Er 0.000 0.000 0.000
Sc 0.500 0.721 0.721
Zn 0.000 0.059 0.480
Zn 0.000 0.480 0.059
Zn 0.000 0.534 0.534
Zn 0.500 0.197 0.197
Zn 0.500 0.244 0.656
Zn 0.500 0.656 0.244

Properties
Energy of formation: -0.298 eV per atom
Spin magnetization: 0.00 μB per formula unit
SG: Amm2

---

First-principles (GGA-PBE) data for ErSc2Zn2 after structural relaxation, as listed in Alexandria via LeMat-Bulk.

Lattice parameters (Å, degrees): 4.790 4.790 5.742 90.00 90.00 120.00
Fractional coordinates of all 5 atoms:
Er 0.000 0.000 0.000
Sc 0.333 0.667 0.647
Sc 0.667 0.333 0.353
Zn 0.333 0.667 0.156
Zn 0.667 0.333 0.844

Properties
Energy of formation: -0.114 eV per atom
Spin magnetization: 0.62 μB per formula unit
SG: P-3m1

---

The highest spin magnetization belongs to which entry?
ErSc2Zn